An optimized crystal structure of Tl2CdCl, computed with PBE-GGA.

Lattice parameters (Å, degrees): 6.6914 6.6914 6.6914 140.42 140.42 57.22
With the nearest neighbours (Å) after each atom.
Sites, in units of the cell vectors:
Tl1 0.0000 0.0000 0.0000  4 Cl 3.20
Tl2 0.7500 0.2500 0.5000  4 Cd 3.20
Cd1 0.2500 0.7500 0.5000  4 Tl 3.20
Cl1 0.5000 0.5000 0.0000  4 Tl 3.20

The value obtained for the total moment is 0.0 Bohr magnetons per cell. As for the distance to the lowest polymorph of the same formula: 62 meV per atom. The space group is I-4m2, No. 119. The calculation puts the density of states at the Fermi level at 0.3614 states/eV/atom. The raw total energy is -2.20 eV/atom. The energy relative to the elements, uncorrected comes out at -125 kJ/mol of formula units.